## Sm3Dy8In (PBE-GGA)

Data for an optimized crystal structure of Sm3Dy8In.

space group: I-42m (121)
energy of formation: 502 meV per atom

```
Sm3Dy8In
1.0
-7.196 1.443 -3.896
2.943 -7.769 -0.179
0.025 0.547 8.291
Sm Dy In
3 8 1
Direct
0.000 0.500 0.500
0.500 0.250 0.750
0.500 0.750 0.250
0.496 0.762 0.762
0.000 0.735 0.238
0.000 0.621 0.873
0.748 0.127 0.127
0.000 0.238 0.735
0.252 0.379 0.379
0.000 0.873 0.621
0.504 0.265 0.265
0.000 0.000 0.000
```



## Tb4DyMg (PBE-GGA)

Data for an optimized crystal structure of Tb4DyMg.

space group: C2/c (15)
energy of formation: 20 meV per atom
relative energy among the computed polymorphs: 35 meV per atom

```
Tb4DyMg
1.0
-2.083 5.034 -2.729
-5.436 -0.083 -2.751
-2.446 1.554 11.483
Tb Mg Dy
8 2 2
Direct
0.414 0.252 0.250
0.164 0.672 0.500
0.836 0.328 0.500
0.748 0.586 0.250
0.328 0.836 0.000
0.586 0.748 0.750
0.672 0.164 0.000
0.252 0.414 0.750
0.082 0.918 0.250
0.918 0.082 0.750
0.500 0.000 0.500
0.000 0.500 0.000
```



## Pm3NdEr3 (PBE-GGA)

Data for an optimized crystal structure of Pm3NdEr3.

space group: R3m (160)
energy of formation: 230 meV per atom
relative energy among the computed polymorphs: 32 meV per atom

```
Pm3NdEr3
1.0
-0.365 -0.470 -8.188
5.322 -2.296 2.638
-4.593 -3.112 3.127
Nd Pm Er
1 3 3
Direct
0.561 0.000 0.000
0.614 0.639 0.639
0.975 0.361 0.000
0.975 0.000 0.361
0.418 0.402 0.000
0.418 0.000 0.402
0.015 0.598 0.598
```



## ZnFeSe (PBE-GGA)

Data for an optimized crystal structure of ZnFeSe.

space group: F-43m (216)
relative energy among the computed polymorphs: 82 meV per atom
formation energy from raw total energies: 0.133 eV per atom

```
ZnFeSe
1.0
-0.451 -4.074 -0.065
0.449 -2.167 3.451
-3.267 -1.729 1.774
Zn Se Fe
1 1 1
Direct
0.500 0.500 0.500
0.000 0.000 0.000
0.250 0.250 0.250
```



| no. | Fermi-level density of states (states/eV per cell) |
| --- | --- |
| 1 | 17.44 |
| 2 | 16.76 |
| 3 | 10.44 |
| 4 | 2.02 |